This record from the Open Quantum Materials Database describes crystalline Ta3Al at its relaxed geometry. The functional is PBE.

Values from the calculation:
raw total energy	-9.850	eV per atom
spin magnetization	0.01	μB/atom

Geometry as CIF:
```
data_Ta3Al
_symmetry_space_group_name_H-M 'P 63/m m c'
_symmetry_Int_Tables_number 194
_symmetry_space_group_name_Hall '-P 6c 2c'
_cell_length_a 5.8330
_cell_length_b 5.8330
_cell_length_c 4.8136
_cell_angle_alpha 90.00
_cell_angle_beta 90.00
_cell_angle_gamma 120.00
loop_
_atom_site_label
_atom_site_fract_x
_atom_site_fract_y
_atom_site_fract_z
_atom_site_occupancy
Ta1 0.1652 0.3305 0.2500 1
Al1 0.3333 0.6667 0.7500 1
```


This record from the Open Quantum Materials Database describes crystalline TaAl2 at its relaxed geometry. The functional is PBE.

Values from the calculation:
raw total energy	-6.399	eV per atom
spin magnetization	0.00	μB/atom

Geometry as CIF:
```
data_TaAl2
_symmetry_space_group_name_H-M 'C m c m'
_symmetry_Int_Tables_number 63
_symmetry_space_group_name_Hall '-C 2c 2'
_cell_length_a 5.420
_cell_length_b 9.236
_cell_length_c 8.550
_cell_angle_alpha 90.00
_cell_angle_beta 90.00
_cell_angle_gamma 90.00
loop_
_atom_site_label
_atom_site_fract_x
_atom_site_fract_y
_atom_site_fract_z
_atom_site_occupancy
Ta1 0.247 0.090 0.250 1
Al1 0.000 0.152 0.573 1
Al2 0.000 0.336 0.250 1
Al3 0.000 0.500 0.000 1
```


This record from the Open Quantum Materials Database describes crystalline Ta25Al4 at its relaxed geometry. The functional is PBE.

Values from the calculation:
raw total energy	-10.495	eV per atom
spin magnetization	0.00	μB/atom

Geometry as CIF:
```
data_Ta25Al4
_symmetry_space_group_name_H-M 'I -4 3 m'
_symmetry_Int_Tables_number 217
_symmetry_space_group_name_Hall 'I -4 2 3'
_cell_length_a 10.265
_cell_length_b 10.265
_cell_length_c 10.265
_cell_angle_alpha 90.00
_cell_angle_beta 90.00
_cell_angle_gamma 90.00
loop_
_atom_site_label
_atom_site_fract_x
_atom_site_fract_y
_atom_site_fract_z
_atom_site_occupancy
Ta1 0.000 0.000 0.000 1
Ta2 0.039 0.359 0.641 1
Ta3 0.091 0.091 0.722 1
Al1 0.173 0.173 0.173 1
```


This record from the Open Quantum Materials Database describes crystalline TaAl12 at its relaxed geometry. The functional is PBE.

Values from the calculation:
raw total energy	-4.322	eV per atom
spin magnetization	0.00	μB/atom

Geometry as CIF:
```
data_TaAl12
_symmetry_space_group_name_H-M 'R -3 m'
_symmetry_Int_Tables_number 166
_symmetry_space_group_name_Hall '-R 3 2"'
_cell_length_a 5.2622
_cell_length_b 5.2622
_cell_length_c 28.0083
_cell_angle_alpha 90.00
_cell_angle_beta 90.00
_cell_angle_gamma 120.00
loop_
_atom_site_label
_atom_site_fract_x
_atom_site_fract_y
_atom_site_fract_z
_atom_site_occupancy
Ta1 0.0000 0.0000 0.0000 1
Al1 0.0000 0.0000 0.1679 1
Al2 0.0000 0.0000 0.3420 1
Al3 0.0000 0.0000 0.4541 1
Al4 0.0023 0.5012 0.4127 1
```


This record from the Open Quantum Materials Database describes crystalline TaAl at its relaxed geometry. The functional is PBE.

Values from the calculation:
raw total energy	-7.929	eV per atom
spin magnetization	0.00	μB/atom

Geometry as CIF:
```
data_TaAl
_symmetry_space_group_name_H-M 'P 63/m m c'
_symmetry_Int_Tables_number 194
_symmetry_space_group_name_Hall '-P 6c 2c'
_cell_length_a 5.1787
_cell_length_b 5.1787
_cell_length_c 8.7832
_cell_angle_alpha 90.00
_cell_angle_beta 90.00
_cell_angle_gamma 120.00
loop_
_atom_site_label
_atom_site_fract_x
_atom_site_fract_y
_atom_site_fract_z
_atom_site_occupancy
Ta1 0.0000 0.0000 0.0000 1
Ta2 0.3333 0.6667 0.0388 1
Al1 0.1699 0.3397 0.7500 1
```


This record from the Open Quantum Materials Database describes crystalline Ta2Al at its relaxed geometry. The functional is PBE.

Values from the calculation:
raw total energy	-9.222	eV per atom
spin magnetization	0.00	μB/atom

Geometry as CIF:
```
data_Ta2Al
_symmetry_space_group_name_H-M 'C m c m'
_symmetry_Int_Tables_number 63
_symmetry_space_group_name_Hall '-C 2c 2'
_cell_length_a 5.346
_cell_length_b 9.219
_cell_length_c 8.556
_cell_angle_alpha 90.00
_cell_angle_beta 90.00
_cell_angle_gamma 90.00
loop_
_atom_site_label
_atom_site_fract_x
_atom_site_fract_y
_atom_site_fract_z
_atom_site_occupancy
Ta1 0.000 0.167 0.060 1
Ta2 0.245 0.091 0.750 1
Al1 0.000 0.337 0.750 1
Al2 0.000 0.500 0.000 1
```